# CrAs2Pb | Alexandria via LeMat-Bulk | PBE-GGA | optimized geometry
# - Crystal system: tetragonal
# - Calculated formation energy: 0.092 eV per atom
data_CrAs2Pb
_cell_length_a 3.113
_cell_length_b 3.113
_cell_length_c 8.038
_cell_angle_alpha 90.00
_cell_angle_beta 90.00
_cell_angle_gamma 90.00
_symmetry_space_group_name_H-M 'P 4/m m m'
_symmetry_Int_Tables_number 123
_symmetry_space_group_name_Hall '-P 4 2'
loop_
_atom_site_label
_atom_site_type_symbol
_atom_site_fract_x
_atom_site_fract_y
_atom_site_fract_z
_atom_site_occupancy
Cr1 Cr 0.000 0.000 0.000 1
As1 As 0.500 0.500 0.173 1
Pb1 Pb 0.000 0.000 0.500 1

***

# TlS2ClF | Alexandria via LeMat-Bulk | PBE-GGA | optimized geometry
# - Crystal system: tetragonal
# - Formation energy from raw total energies: 0.164 eV/atom
data_TlS2ClF
_cell_length_a 4.247
_cell_length_b 4.247
_cell_length_c 6.678
_cell_angle_alpha 90.00
_cell_angle_beta 90.00
_cell_angle_gamma 90.00
_symmetry_space_group_name_H-M 'P 4/m m m'
_symmetry_Int_Tables_number 123
_symmetry_space_group_name_Hall '-P 4 2'
loop_
_atom_site_label
_atom_site_type_symbol
_atom_site_fract_x
_atom_site_fract_y
_atom_site_fract_z
_atom_site_occupancy
Tl1 Tl 0.000 0.000 0.000 1
S1 S 0.000 0.500 0.500 1
Cl1 Cl 0.500 0.500 0.000 1
F1 F 0.500 0.500 0.500 1

***

# Hg2Bi6Pb | Alexandria via LeMat-Bulk | PBE-GGA | optimized geometry
# - Crystal system: monoclinic
# - Calculated formation energy: 0.091 eV per atom
data_Hg2Bi6Pb
_cell_length_a 6.633
_cell_length_b 11.541
_cell_length_c 9.119
_cell_angle_alpha 90.00
_cell_angle_beta 93.25
_cell_angle_gamma 90.00
_symmetry_space_group_name_H-M 'C 1 2/m 1'
_symmetry_Int_Tables_number 12
_symmetry_space_group_name_Hall '-C 2y'
loop_
_atom_site_label
_atom_site_type_symbol
_atom_site_fract_x
_atom_site_fract_y
_atom_site_fract_z
_atom_site_occupancy
Hg1 Hg 0.000 0.165 0.000 1
Bi1 Bi 0.017 0.000 0.674 1
Bi2 Bi 0.239 0.252 0.326 1
Pb1 Pb 0.000 0.500 0.500 1

***

# Tl2BSe5 | Alexandria via LeMat-Bulk | PBE-GGA | optimized geometry
# - Crystal system: monoclinic
# - Formation energy from raw total energies: -0.072 eV/atom
data_Tl2BSe5
_cell_length_a 11.631
_cell_length_b 7.007
_cell_length_c 7.182
_cell_angle_alpha 90.00
_cell_angle_beta 122.39
_cell_angle_gamma 90.00
_symmetry_space_group_name_H-M 'C 1 m 1'
_symmetry_Int_Tables_number 8
_symmetry_space_group_name_Hall 'C -2y'
loop_
_atom_site_label
_atom_site_type_symbol
_atom_site_fract_x
_atom_site_fract_y
_atom_site_fract_z
_atom_site_occupancy
Tl1 Tl 0.000 0.000 0.000 1
Tl2 Tl 0.119 0.500 0.793 1
B1 B 0.008 0.000 0.536 1
Se1 Se 0.180 0.000 0.816 1
Se2 Se 0.313 0.221 0.590 1
Se3 Se 0.407 0.265 0.367 1

***

# Mg5Ag4Sn | Alexandria via LeMat-Bulk | PBE-GGA | optimized geometry
# - Crystal system: tetragonal
# - Calculated formation energy: -0.218 eV per atom
data_Mg5Ag4Sn
_cell_length_a 3.355
_cell_length_b 3.355
_cell_length_c 17.424
_cell_angle_alpha 90.00
_cell_angle_beta 90.00
_cell_angle_gamma 90.00
_symmetry_space_group_name_H-M 'P 4/m m m'
_symmetry_Int_Tables_number 123
_symmetry_space_group_name_Hall '-P 4 2'
loop_
_atom_site_label
_atom_site_type_symbol
_atom_site_fract_x
_atom_site_fract_y
_atom_site_fract_z
_atom_site_occupancy
Mg1 Mg 0.000 0.000 0.000 1
Mg2 Mg 0.000 0.000 0.188 1
Mg3 Mg 0.000 0.000 0.377 1
Ag1 Ag 0.500 0.500 0.095 1
Ag2 Ag 0.500 0.500 0.283 1
Sn1 Sn 0.500 0.500 0.500 1

***

# ErTh2Hg | Alexandria via LeMat-Bulk | PBE-GGA | optimized geometry
# - Crystal system: tetragonal
# - Calculated formation energy: -0.044 eV per atom
data_ErTh2Hg
_cell_length_a 3.511
_cell_length_b 3.511
_cell_length_c 9.773
_cell_angle_alpha 90.00
_cell_angle_beta 90.00
_cell_angle_gamma 90.00
_symmetry_space_group_name_H-M 'P 4/m m m'
_symmetry_Int_Tables_number 123
_symmetry_space_group_name_Hall '-P 4 2'
loop_
_atom_site_label
_atom_site_type_symbol
_atom_site_fract_x
_atom_site_fract_y
_atom_site_fract_z
_atom_site_occupancy
Er1 Er 0.000 0.000 0.000 1
Th1 Th 0.500 0.500 0.266 1
Hg1 Hg 0.000 0.000 0.500 1

***

# NaTl4As2 | Alexandria via LeMat-Bulk | PBE-GGA | optimized geometry
# - Crystal system: monoclinic
# - Calculated formation energy: -0.062 eV per atom
data_NaTl4As2
_cell_length_a 4.718
_cell_length_b 4.738
_cell_length_c 9.672
_cell_angle_alpha 90.00
_cell_angle_beta 103.04
_cell_angle_gamma 90.00
_symmetry_space_group_name_H-M 'P 1 2/m 1'
_symmetry_Int_Tables_number 10
_symmetry_space_group_name_Hall '-P 2y'
loop_
_atom_site_label
_atom_site_type_symbol
_atom_site_fract_x
_atom_site_fract_y
_atom_site_fract_z
_atom_site_occupancy
Na1 Na 0.000 0.000 0.000 1
Tl1 Tl 0.195 0.500 0.338 1
Tl2 Tl 0.312 0.000 0.664 1
As1 As 0.404 0.500 0.870 1

***

# Na2Sm2Br7 | Alexandria via LeMat-Bulk | PBE-GGA | optimized geometry
# - Crystal system: monoclinic
# - Formation energy from raw total energies: -1.575 eV/atom
data_Na2Sm2Br7
_cell_length_a 12.427
_cell_length_b 8.940
_cell_length_c 7.151
_cell_angle_alpha 90.00
_cell_angle_beta 94.23
_cell_angle_gamma 90.00
_symmetry_space_group_name_H-M 'C 1 2/m 1'
_symmetry_Int_Tables_number 12
_symmetry_space_group_name_Hall '-C 2y'
loop_
_atom_site_label
_atom_site_type_symbol
_atom_site_fract_x
_atom_site_fract_y
_atom_site_fract_z
_atom_site_occupancy
Na1 Na 0.000 0.227 0.000 1
Sm1 Sm 0.232 0.500 0.437 1
Br1 Br 0.000 0.500 0.500 1
Br2 Br 0.077 0.000 0.750 1
Br3 Br 0.202 0.209 0.254 1

***

# FeMo2HRu | Alexandria via LeMat-Bulk | PBE-GGA | optimized geometry
# - Crystal system: tetragonal
# - E_tot: -8.479 eV/atom
data_FeMo2HRu
_cell_length_a 3.944
_cell_length_b 3.944
_cell_length_c 3.764
_cell_angle_alpha 90.00
_cell_angle_beta 90.00
_cell_angle_gamma 90.00
_symmetry_space_group_name_H-M 'P 4/m m m'
_symmetry_Int_Tables_number 123
_symmetry_space_group_name_Hall '-P 4 2'
loop_
_atom_site_label
_atom_site_type_symbol
_atom_site_fract_x
_atom_site_fract_y
_atom_site_fract_z
_atom_site_occupancy
Fe1 Fe 0.000 0.000 0.000 1
Mo1 Mo 0.000 0.500 0.500 1
H1 H 0.000 0.000 0.500 1
Ru1 Ru 0.500 0.500 0.000 1

***

# CaFe2Sb | Alexandria via LeMat-Bulk | PBE-GGA | optimized geometry
# - Crystal system: tetragonal
# - Formation energy from raw total energies: 0.265 eV/atom
data_CaFe2Sb
_cell_length_a 4.384
_cell_length_b 4.384
_cell_length_c 7.503
_cell_angle_alpha 90.00
_cell_angle_beta 90.00
_cell_angle_gamma 90.00
_symmetry_space_group_name_H-M 'I 4/m m m'
_symmetry_Int_Tables_number 139
_symmetry_space_group_name_Hall '-I 4 2'
loop_
_atom_site_label
_atom_site_type_symbol
_atom_site_fract_x
_atom_site_fract_y
_atom_site_fract_z
_atom_site_occupancy
Ca1 Ca 0.000 0.000 0.000 1
Fe1 Fe 0.000 0.500 0.250 1
Sb1 Sb 0.000 0.000 0.500 1